No. 1
Below is a relaxed structure of ZrCu2ReF, with properties calculated at the PBE level.

Properties
ΔE_f (raw) in eV per atom: 0.308
Magnetic moment in μB/cell: 0.0
Raw total energy in eV/cell: -29.52

Cell: 4.2055 4.2055 4.2111 Å, 90.00 90.00 90.00°
Last column: nearest neighbours and their distance in Å.
Space group P4/mmm (No. 123)
Symmetry-distinct sites (fractional):
Zr1 0.0000 0.0000 0.0000 (multiplicity 1)  4 Re 2.97, 8 Cu 2.98
Cu1 0.0000 0.5000 0.5000 (multiplicity 2)  2 F 2.10
Re1 0.5000 0.5000 0.0000 (multiplicity 1)  2 F 2.11
F1 0.5000 0.5000 0.5000 (multiplicity 1)  4 Cu 2.10, 2 Re 2.11


No. 2
Below is a relaxed structure of CuRhF, with properties calculated at the PBE level.

Properties
ΔE_f (raw) in eV per atom: -0.086
Magnetic moment in μB/cell: 2.7
Raw total energy in eV/cell: -27.15

Cell: 2.6171 4.7973 6.1695 Å, 90.00 90.00 90.00°
Last column: nearest neighbours and their distance in Å.
Space group Amm2 (No. 38)
Symmetry-distinct sites (fractional):
Cu1 0.0000 0.0000 0.0000 (multiplicity 2)  2 F 2.16
Rh1 0.5000 0.0000 0.3631 (multiplicity 2)  1 F 2.21
F1 0.5000 0.0000 0.7215 (multiplicity 2)  2 Cu 2.16, 1 Rh 2.21